No. 1
# CsNa3Sc, relaxed, DFT GGA-PBE
data_CsNa3Sc
_cell_length_a 6.603
_cell_length_b 6.603
_cell_length_c 6.603
_cell_angle_alpha 90.00
_cell_angle_beta 90.00
_cell_angle_gamma 90.00
_symmetry_space_group_name_H-M 'P m -3 m'
_symmetry_Int_Tables_number 221
_symmetry_space_group_name_Hall '-P 4 2 3'
loop_
_atom_site_label
_atom_site_fract_x
_atom_site_fract_y
_atom_site_fract_z
Cs1 0.000 0.000 0.000
Na1 0.000 0.500 0.500
Sc1 0.500 0.500 0.500
# * electronic total energy: -8.2 eV per cell
# * magnetization: 1.51 μB/f.u.
# * formation enthalpy at 0 K: 584 meV per atom
# * excess energy over the best structure of this formula in the dataset: 0 meV/atom

***

No. 2
# ThMn2SiN, relaxed, DFT GGA-PBE
data_ThMn2SiN
_cell_length_a 3.656
_cell_length_b 11.013
_cell_length_c 7.162
_cell_angle_alpha 90.00
_cell_angle_beta 90.00
_cell_angle_gamma 90.00
_symmetry_space_group_name_H-M 'C m c m'
_symmetry_Int_Tables_number 63
_symmetry_space_group_name_Hall '-C 2c 2'
loop_
_atom_site_label
_atom_site_fract_x
_atom_site_fract_y
_atom_site_fract_z
Th1 0.000 0.042 0.250
Mn1 0.000 0.330 0.056
Si1 0.000 0.234 0.750
N1 0.000 0.500 0.000
# * electronic total energy: -173.9 eV per cell
# * magnetization: 3.40 μB/f.u.
# * E_form (uncorrected): -3.963 eV per formula unit

***

No. 3
# UCu2P2, relaxed, DFT GGA-PBE
data_UCu2P2
_cell_length_a 3.9016
_cell_length_b 3.9016
_cell_length_c 6.3903
_cell_angle_alpha 90.00
_cell_angle_beta 90.00
_cell_angle_gamma 120.00
_symmetry_space_group_name_H-M 'P -3 m 1'
_symmetry_Int_Tables_number 164
_symmetry_space_group_name_Hall '-P 3 2"'
loop_
_atom_site_label
_atom_site_fract_x
_atom_site_fract_y
_atom_site_fract_z
U1 0.0000 0.0000 0.0000
Cu1 0.3333 0.6667 0.6313
P1 0.3333 0.6667 0.2561
# * electronic total energy: -33.0 eV per cell
# * magnetization: 2.00 μB/f.u.
# * formation enthalpy at 0 K: -549 meV per atom

***

No. 4
# Zn3GeW, relaxed, DFT GGA-PBE
data_Zn3GeW
_cell_length_a 4.891
_cell_length_b 4.891
_cell_length_c 4.891
_cell_angle_alpha 90.00
_cell_angle_beta 90.00
_cell_angle_gamma 90.00
_symmetry_space_group_name_H-M 'P m -3 m'
_symmetry_Int_Tables_number 221
_symmetry_space_group_name_Hall '-P 4 2 3'
loop_
_atom_site_label
_atom_site_fract_x
_atom_site_fract_y
_atom_site_fract_z
Zn1 0.000 0.000 0.500
Ge1 0.500 0.500 0.500
W1 0.000 0.000 0.000
# * electronic total energy: -15.3 eV per cell
# * magnetization: 0.00 μB/f.u.
# * formation enthalpy at 0 K: 1213 meV per atom
# * excess energy over the best structure of this formula in the dataset: 0 meV/atom

***

No. 5
# Tl2CdCl, relaxed, DFT GGA-PBE
data_Tl2CdCl
_cell_length_a 12.015
_cell_length_b 3.490
_cell_length_c 5.492
_cell_angle_alpha 90.00
_cell_angle_beta 90.19
_cell_angle_gamma 90.00
_symmetry_space_group_name_H-M 'C 1 m 1'
_symmetry_Int_Tables_number 8
loop_
_symmetry_equiv_pos_as_xyz
'x,y,z'
'x,-y,z'
'x+1/2,y+1/2,z'
'x+1/2,-y+1/2,z'
loop_
_atom_site_label
_atom_site_fract_x
_atom_site_fract_y
_atom_site_fract_z
Tl1 0.000 0.000 0.000
Tl2 0.249 0.500 0.501
Cd1 0.259 0.000 0.001
Cl1 0.496 0.000 0.500
# * electronic total energy: -17.8 eV per cell
# * magnetization: 0.00 μB/f.u.
# * E_form (uncorrected): -1.425 eV per formula unit
# * excess energy over the best structure of this formula in the dataset: 29 meV/atom

***

No. 6
# Y4Sb2AsSe, relaxed, DFT GGA-PBE
data_Y4Sb2AsSe
_cell_length_a 7.346
_cell_length_b 4.245
_cell_length_c 7.376
_cell_angle_alpha 90.00
_cell_angle_beta 109.30
_cell_angle_gamma 90.00
_symmetry_space_group_name_H-M 'P 1 2/m 1'
_symmetry_Int_Tables_number 10
loop_
_symmetry_equiv_pos_as_xyz
'x,y,z'
'-x,-y,-z'
'-x,y,-z'
'x,-y,z'
loop_
_atom_site_label
_atom_site_fract_x
_atom_site_fract_y
_atom_site_fract_z
Y1 0.241 0.000 0.235
Y2 0.249 0.500 0.761
Sb1 0.000 0.000 0.500
Sb2 0.500 0.500 0.500
As1 0.000 0.500 0.000
Se1 0.500 0.000 0.000
# * electronic total energy: -53.7 eV per cell
# * magnetization: 0.00 μB/f.u.
# * E_form (uncorrected): -11.460 eV per formula unit

***

No. 7
# SmW2N4, relaxed, DFT GGA-PBE
data_SmW2N4
_cell_length_a 3.311
_cell_length_b 9.890
_cell_length_c 10.098
_cell_angle_alpha 90.00
_cell_angle_beta 90.00
_cell_angle_gamma 90.00
_symmetry_space_group_name_H-M 'C m c m'
_symmetry_Int_Tables_number 63
_symmetry_space_group_name_Hall '-C 2c 2'
loop_
_atom_site_label
_atom_site_fract_x
_atom_site_fract_y
_atom_site_fract_z
Sm1 0.000 0.125 0.250
W1 0.000 0.383 0.058
N1 0.000 0.000 0.000
N2 0.000 0.260 0.605
N3 0.000 0.432 0.250
# * electronic total energy: -275.5 eV per cell
# * magnetization: 0.00 μB/f.u.
# * E_form (uncorrected): -4.949 eV per formula unit

***

No. 8
# LiGd2N, relaxed, DFT GGA-PBE
data_LiGd2N
_cell_length_a 3.5389
_cell_length_b 3.5389
_cell_length_c 25.3259
_cell_angle_alpha 90.00
_cell_angle_beta 90.00
_cell_angle_gamma 120.00
_symmetry_space_group_name_H-M 'R -3 m'
_symmetry_Int_Tables_number 166
_symmetry_space_group_name_Hall '-R 3 2"'
loop_
_atom_site_label
_atom_site_fract_x
_atom_site_fract_y
_atom_site_fract_z
Li1 0.0000 0.0000 0.0000
Gd1 0.0000 0.0000 0.2200
N1 0.0000 0.0000 0.5000
# * electronic total energy: -123.7 eV per cell
# * magnetization: 15.77 μB/f.u.
# * E_form (uncorrected): -2.832 eV per formula unit

***

No. 9
# TiMnInCl6, relaxed, DFT GGA-PBE
data_TiMnInCl6
_cell_length_a 6.5265
_cell_length_b 6.5265
_cell_length_c 13.9184
_cell_angle_alpha 90.00
_cell_angle_beta 90.00
_cell_angle_gamma 120.00
_symmetry_space_group_name_H-M 'P -3 1 c'
_symmetry_Int_Tables_number 163
_symmetry_space_group_name_Hall '-P 3 2c'
loop_
_atom_site_label
_atom_site_fract_x
_atom_site_fract_y
_atom_site_fract_z
Ti1 0.3333 0.6667 0.2500
Mn1 0.3333 0.6667 0.7500
In1 0.0000 0.0000 0.0000
Cl1 0.0109 0.3804 0.1488
# * electronic total energy: -84.2 eV per cell
# * magnetization: 6.00 μB/f.u.
# * E_form (uncorrected): -11.218 eV per formula unit

***

No. 10
# RbTa3Au4S12, relaxed, DFT GGA-PBE
data_RbTa3Au4S12
_cell_length_a 13.3020
_cell_length_b 13.3020
_cell_length_c 10.1768
_cell_angle_alpha 90.00
_cell_angle_beta 90.00
_cell_angle_gamma 120.00
_symmetry_space_group_name_H-M 'R 3 2'
_symmetry_Int_Tables_number 155
_symmetry_space_group_name_Hall 'R 3 2"'
loop_
_atom_site_label
_atom_site_fract_x
_atom_site_fract_y
_atom_site_fract_z
Rb1 0.0000 0.0000 0.0000
Ta1 0.0000 0.5461 0.0000
Au1 0.0000 0.0000 0.5000
Au2 0.0000 0.3636 0.5000
S1 0.0000 0.6358 0.5000
S2 0.0000 0.8175 0.5000
S3 0.0394 0.1870 0.2478
# * electronic total energy: -324.1 eV per cell
# * magnetization: 0.00 μB/f.u.
# * E_form (uncorrected): -8.864 eV per formula unit

***

No. 11
# Er3Zn9Ru2, relaxed, DFT GGA-PBE
data_Er3Zn9Ru2
_cell_length_a 4.322
_cell_length_b 9.101
_cell_length_c 12.470
_cell_angle_alpha 90.00
_cell_angle_beta 90.00
_cell_angle_gamma 90.00
_symmetry_space_group_name_H-M 'I m m m'
_symmetry_Int_Tables_number 71
_symmetry_space_group_name_Hall '-I 2 2'
loop_
_atom_site_label
_atom_site_fract_x
_atom_site_fract_y
_atom_site_fract_z
Er1 0.000 0.000 0.000
Er2 0.000 0.000 0.310
Zn1 0.000 0.277 0.126
Zn2 0.000 0.361 0.339
Zn3 0.000 0.500 0.000
Ru1 0.000 0.180 0.500
# * electronic total energy: -96.0 eV per cell
# * magnetization: 0.00 μB/f.u.
# * formation enthalpy at 0 K: -307 meV per atom

***

No. 12
# ZrTa4Rh, relaxed, DFT GGA-PBE
data_ZrTa4Rh
_cell_length_a 7.724
_cell_length_b 7.724
_cell_length_c 7.724
_cell_angle_alpha 90.00
_cell_angle_beta 90.00
_cell_angle_gamma 90.00
_symmetry_space_group_name_H-M 'F -4 3 m'
_symmetry_Int_Tables_number 216
_symmetry_space_group_name_Hall 'F -4 2 3'
loop_
_atom_site_label
_atom_site_fract_x
_atom_site_fract_y
_atom_site_fract_z
Zr1 0.000 0.000 0.000
Ta1 0.126 0.126 0.374
Rh1 0.250 0.250 0.750
# * electronic total energy: -249.5 eV per cell
# * magnetization: 0.00 μB/f.u.
# * formation enthalpy at 0 K: 156 meV per atom

***

No. 13
# AcNd2DyP4, relaxed, DFT GGA-PBE
data_AcNd2DyP4
_cell_length_a 7.281
_cell_length_b 4.205
_cell_length_c 7.281
_cell_angle_alpha 90.00
_cell_angle_beta 109.35
_cell_angle_gamma 90.00
_symmetry_space_group_name_H-M 'P 1 2/m 1'
_symmetry_Int_Tables_number 10
loop_
_symmetry_equiv_pos_as_xyz
'x,y,z'
'-x,-y,-z'
'-x,y,-z'
'x,-y,z'
loop_
_atom_site_label
_atom_site_fract_x
_atom_site_fract_y
_atom_site_fract_z
Ac1 0.000 0.000 0.000
Nd1 0.000 0.500 0.500
Nd2 0.500 0.000 0.500
Dy1 0.500 0.500 0.000
P1 0.261 0.000 0.752
P2 0.263 0.500 0.256
# * electronic total energy: -51.8 eV per cell
# * magnetization: 0.00 μB/f.u.
# * formation enthalpy at 0 K: -1494 meV per atom

***

No. 14
# Cu4ReTc, relaxed, DFT GGA-PBE
data_Cu4ReTc
_cell_length_a 6.693
_cell_length_b 6.693
_cell_length_c 6.693
_cell_angle_alpha 90.00
_cell_angle_beta 90.00
_cell_angle_gamma 90.00
_symmetry_space_group_name_H-M 'F -4 3 m'
_symmetry_Int_Tables_number 216
_symmetry_space_group_name_Hall 'F -4 2 3'
loop_
_atom_site_label
_atom_site_fract_x
_atom_site_fract_y
_atom_site_fract_z
Cu1 0.125 0.125 0.125
Re1 0.250 0.250 0.750
Tc1 0.000 0.000 0.500
# * electronic total energy: -151.5 eV per cell
# * magnetization: 0.00 μB/f.u.
# * formation enthalpy at 0 K: 220 meV per atom

***

No. 15
# K2Cu2ReO6, relaxed, DFT GGA-PBE
data_K2Cu2ReO6
_cell_length_a 5.7856
_cell_length_b 5.7856
_cell_length_c 6.4772
_cell_angle_alpha 90.00
_cell_angle_beta 90.00
_cell_angle_gamma 120.00
_symmetry_space_group_name_H-M 'P -3'
_symmetry_Int_Tables_number 147
loop_
_symmetry_equiv_pos_as_xyz
'x,y,z'
'-x,-y,-z'
'-y,x-y,z'
'y,-x+y,-z'
'-x+y,-x,z'
'x-y,x,-z'
loop_
_atom_site_label
_atom_site_fract_x
_atom_site_fract_y
_atom_site_fract_z
K1 0.3333 0.6667 0.3095
Cu1 0.3333 0.6667 0.8286
Re1 0.0000 0.0000 0.0000
O1 0.0974 0.3016 0.8257
# * electronic total energy: -66.0 eV per cell
# * magnetization: 1.09 μB/f.u.
# * E_form (uncorrected): -13.395 eV per formula unit

***

No. 16
# Sm2YPd, relaxed, DFT GGA-PBE
data_Sm2YPd
_cell_length_a 3.658
_cell_length_b 3.658
_cell_length_c 8.506
_cell_angle_alpha 90.00
_cell_angle_beta 90.00
_cell_angle_gamma 90.00
_symmetry_space_group_name_H-M 'P 4/m m m'
_symmetry_Int_Tables_number 123
_symmetry_space_group_name_Hall '-P 4 2'
loop_
_atom_site_label
_atom_site_fract_x
_atom_site_fract_y
_atom_site_fract_z
Sm1 0.000 0.000 0.200
Y1 0.500 0.500 0.500
Pd1 0.500 0.500 0.000
# * electronic total energy: -22.5 eV per cell
# * magnetization: 0.00 μB/f.u.
# * formation enthalpy at 0 K: -352 meV per atom
# * excess energy over the best structure of this formula in the dataset: 89 meV/atom

***

No. 17
# AlGePt2, relaxed, DFT GGA-PBE
data_AlGePt2
_cell_length_a 4.0725
_cell_length_b 4.0725
_cell_length_c 14.2066
_cell_angle_alpha 90.00
_cell_angle_beta 90.00
_cell_angle_gamma 120.00
_symmetry_space_group_name_H-M 'R 3 m'
_symmetry_Int_Tables_number 160
_symmetry_space_group_name_Hall 'R 3 -2"'
loop_
_atom_site_label
_atom_site_fract_x
_atom_site_fract_y
_atom_site_fract_z
Al1 0.0000 0.0000 0.0000
Ge1 0.0000 0.0000 0.8146
Pt1 0.0000 0.0000 0.3968
Pt2 0.0000 0.0000 0.5935
# * electronic total energy: -67.7 eV per cell
# * magnetization: 0.00 μB/f.u.
# * formation enthalpy at 0 K: -534 meV per atom

***

No. 18
# CaBiOs2Br, relaxed, DFT GGA-PBE
data_CaBiOs2Br
_cell_length_a 5.029
_cell_length_b 5.029
_cell_length_c 6.379
_cell_angle_alpha 90.00
_cell_angle_beta 90.00
_cell_angle_gamma 90.00
_symmetry_space_group_name_H-M 'P 4/m m m'
_symmetry_Int_Tables_number 123
_symmetry_space_group_name_Hall '-P 4 2'
loop_
_atom_site_label
_atom_site_fract_x
_atom_site_fract_y
_atom_site_fract_z
Ca1 0.000 0.000 0.000
Bi1 0.000 0.000 0.500
Os1 0.000 0.500 0.500
Br1 0.500 0.500 0.000
# * electronic total energy: -22.1 eV per cell
# * magnetization: 2.41 μB/f.u.
# * E_form (uncorrected): 7.866 eV per formula unit

***

No. 19
# LiLa3Sm3Se8, relaxed, DFT GGA-PBE
data_LiLa3Sm3Se8
_cell_length_a 8.4030
_cell_length_b 8.4030
_cell_length_c 20.7347
_cell_angle_alpha 90.00
_cell_angle_beta 90.00
_cell_angle_gamma 120.00
_symmetry_space_group_name_H-M 'R -3 m'
_symmetry_Int_Tables_number 166
_symmetry_space_group_name_Hall '-R 3 2"'
loop_
_atom_site_label
_atom_site_fract_x
_atom_site_fract_y
_atom_site_fract_z
Li1 0.0000 0.0000 0.0000
La1 0.0000 0.5000 0.5000
Sm1 0.0000 0.5000 0.0000
Se1 0.0000 0.0000 0.2533
Se2 0.0039 0.5020 0.7461
# * electronic total energy: -260.3 eV per cell
# * magnetization: 0.00 μB/f.u.
# * E_form (uncorrected): -28.053 eV per formula unit

***

No. 20
# MgAlCu2Te4, relaxed, DFT GGA-PBE
data_MgAlCu2Te4
_cell_length_a 6.135
_cell_length_b 6.135
_cell_length_c 12.334
_cell_angle_alpha 90.00
_cell_angle_beta 90.00
_cell_angle_gamma 90.00
_symmetry_space_group_name_H-M 'I -4 2 m'
_symmetry_Int_Tables_number 121
_symmetry_space_group_name_Hall 'I -4 2'
loop_
_atom_site_label
_atom_site_fract_x
_atom_site_fract_y
_atom_site_fract_z
Mg1 0.000 0.000 0.000
Al1 0.000 0.000 0.500
Cu1 0.000 0.500 0.250
Te1 0.240 0.240 0.366
# * electronic total energy: -58.1 eV per cell
# * magnetization: 0.00 μB/f.u.
# * E_form (uncorrected): -2.972 eV per formula unit